Density functional theory data (PBE) for Tl2Bi3Pb2 after structural relaxation.

Output
Formation energy from the elements in eV/atom: 0.0220
Crystal system: monoclinic

Lattice parameters (Å, degrees): 5.1611 6.0178 8.1417 101.14 90.00 115.39
Last column: nearest neighbours and their distance in Å.
Sites, in units of the cell vectors:
Tl1 0.0675 0.1351 0.7126  4 Pb 3.46-3.55, 1 Tl 3.46, 7 Bi 3.53-3.66
Pb1 0.7865 0.5730 0.8661  6 Bi 3.44-3.80, 4 Tl 3.46-3.55, 2 Pb 3.58
Bi1 0.5000 0.0000 0.0000  6 Pb 3.49-3.51, 2 Bi 3.64, 4 Tl 3.66
Bi2 0.6465 0.2931 0.4456  4 Bi 3.41-3.64, 3 Pb 3.44-3.80, 5 Tl 3.53-3.61
Tl2 0.9325 0.8649 0.2874  4 Pb 3.46-3.55, 1 Tl 3.46, 7 Bi 3.53-3.66
Bi3 0.3535 0.7069 0.5544  4 Bi 3.41-3.64, 3 Pb 3.44-3.80, 5 Tl 3.53-3.61
Pb2 0.2135 0.4270 0.1339  6 Bi 3.44-3.80, 4 Tl 3.46-3.55, 2 Pb 3.58